Record 1
# CaTlPbAu (PBE-GGA, relaxed)
# VASP energy = -50.8 eV for the cell shown
# Density = 10302 kg/m3
# Density of states at the Fermi level = 0.308 states/eV/atom
# Calculated formation energy = -334 meV per atom
data_CaTlPbAu
_symmetry_space_group_name_H-M 'F -4 3 m'
_symmetry_Int_Tables_number 216
_symmetry_space_group_name_Hall 'F -4 2 3'
_cell_length_a 7.478
_cell_length_b 7.478
_cell_length_c 7.478
_cell_angle_alpha 90.00
_cell_angle_beta 90.00
_cell_angle_gamma 90.00
loop_
_atom_site_label
_atom_site_fract_x
_atom_site_fract_y
_atom_site_fract_z
Ca1 0.000 0.000 0.000
Tl1 0.250 0.250 0.250
Pb1 0.000 0.000 0.500
Au1 0.250 0.250 0.750

Record 2
# Sn3IrC (PBE-GGA, relaxed)
# VASP energy = -25.0 eV for the cell shown
# Density = 9543 kg/m3
# Energy above the lowest structure with this stoichiometry = 0.0 meV per atom
# Density of states at the Fermi level = 0.821 states/eV/atom
# Calculated formation energy = 1015 meV per atom
data_Sn3IrC
_symmetry_space_group_name_H-M 'P m -3 m'
_symmetry_Int_Tables_number 221
_symmetry_space_group_name_Hall '-P 4 2 3'
_cell_length_a 4.603
_cell_length_b 4.603
_cell_length_c 4.603
_cell_angle_alpha 90.00
_cell_angle_beta 90.00
_cell_angle_gamma 90.00
loop_
_atom_site_label
_atom_site_fract_x
_atom_site_fract_y
_atom_site_fract_z
Sn1 0.000 0.000 0.500
Ir1 0.500 0.500 0.500
C1 0.000 0.000 0.000

Record 3
# BaNbAl2 (PBE-GGA, relaxed)
# VASP energy = -70.1 eV for the cell shown
# Density = 4944 kg/m3
# Energy above the lowest structure with this stoichiometry = 0.0 meV per atom
# Density of states at the Fermi level = 1.019 states/eV/atom
# Calculated formation energy = 487 meV per atom
data_BaNbAl2
_symmetry_space_group_name_H-M 'F m -3 m'
_symmetry_Int_Tables_number 225
_symmetry_space_group_name_Hall '-F 4 2 3'
_cell_length_a 7.255
_cell_length_b 7.255
_cell_length_c 7.255
_cell_angle_alpha 90.00
_cell_angle_beta 90.00
_cell_angle_gamma 90.00
loop_
_atom_site_label
_atom_site_fract_x
_atom_site_fract_y
_atom_site_fract_z
Ba1 0.000 0.000 0.000
Nb1 0.000 0.000 0.500
Al1 0.250 0.250 0.250

Record 4
# DyEr3Tl4Te8 (PBE-GGA, relaxed)
# VASP energy = -208.7 eV for the cell shown
# Formation energy (no corrections) = -1.0420 eV/atom
# Density = 7464 kg/m3
data_DyEr3Tl4Te8
_symmetry_space_group_name_H-M 'R -3 m'
_symmetry_Int_Tables_number 166
_symmetry_space_group_name_Hall '-R 3 2"'
_cell_length_a 8.8609
_cell_length_b 8.8609
_cell_length_c 24.5656
_cell_angle_alpha 90.00
_cell_angle_beta 90.00
_cell_angle_gamma 120.00
loop_
_atom_site_label
_atom_site_fract_x
_atom_site_fract_y
_atom_site_fract_z
Dy1 0.0000 0.0000 0.0000
Er1 0.0000 0.5000 0.0000
Tl1 0.0000 0.0000 0.5000
Tl2 0.0000 0.5000 0.5000
Te1 0.0000 0.0000 0.2630
Te2 0.0016 0.5008 0.2627

Record 5
# PuPdC (PBE-GGA, relaxed)
# VASP energy = -115.6 eV for the cell shown
# Density = 13441 kg/m3
# Density of states at the Fermi level = 2.268 states/eV/atom
# Calculated formation energy = -54 meV per atom
data_PuPdC
_symmetry_space_group_name_H-M 'C m c m'
_symmetry_Int_Tables_number 63
_symmetry_space_group_name_Hall '-C 2c 2'
_cell_length_a 3.539
_cell_length_b 17.953
_cell_length_c 2.819
_cell_angle_alpha 90.00
_cell_angle_beta 90.00
_cell_angle_gamma 90.00
loop_
_atom_site_label
_atom_site_fract_x
_atom_site_fract_y
_atom_site_fract_z
Pu1 0.000 0.091 0.250
Pd1 0.000 0.295 0.250
C1 0.000 0.480 0.250

Record 6
# CaPtSe (PBE-GGA, relaxed)
# VASP energy = -27.0 eV for the cell shown
# Formation energy (no corrections) = -0.6564 eV/atom
# Density = 5340 kg/m3
# Density of states at the Fermi level = 0.173 states/eV/atom
data_CaPtSe
_symmetry_space_group_name_H-M 'P 63/m m c'
_symmetry_Int_Tables_number 194
_symmetry_space_group_name_Hall '-P 6c 2c'
_cell_length_a 4.8824
_cell_length_b 4.8824
_cell_length_c 9.4627
_cell_angle_alpha 90.00
_cell_angle_beta 90.00
_cell_angle_gamma 120.00
loop_
_atom_site_label
_atom_site_fract_x
_atom_site_fract_y
_atom_site_fract_z
Ca1 0.3333 0.6667 0.2500
Pt1 0.0000 0.0000 0.0000
Se1 0.0000 0.0000 0.2500

Record 7
# AcPm4Tm2 (PBE-GGA, relaxed)
# VASP energy = -30.4 eV for the cell shown
# Density = 7644 kg/m3
# Density of states at the Fermi level = 1.810 states/eV/atom
# Calculated formation energy = 241 meV per atom
data_AcPm4Tm2
_symmetry_space_group_name_H-M 'P -1'
_symmetry_Int_Tables_number 2
_cell_length_a 6.376
_cell_length_b 6.580
_cell_length_c 6.768
_cell_angle_alpha 116.82
_cell_angle_beta 94.87
_cell_angle_gamma 96.63
loop_
_symmetry_equiv_pos_as_xyz
'x,y,z'
'-x,-y,-z'
loop_
_atom_site_label
_atom_site_fract_x
_atom_site_fract_y
_atom_site_fract_z
Ac1 0.000 0.000 0.000
Pm1 0.000 0.000 0.500
Pm2 0.000 0.500 0.500
Pm3 0.489 0.811 0.682
Tm1 0.269 0.577 0.079

Record 8
# BaScHg2 (PBE-GGA, relaxed)
# VASP energy = -35.2 eV for the cell shown
# Density = 8676 kg/m3
# Density of states at the Fermi level = 1.023 states/eV/atom
# Calculated formation energy = 17 meV per atom
data_BaScHg2
_symmetry_space_group_name_H-M 'F -4 3 m'
_symmetry_Int_Tables_number 216
_symmetry_space_group_name_Hall 'F -4 2 3'
_cell_length_a 7.644
_cell_length_b 7.644
_cell_length_c 7.644
_cell_angle_alpha 90.00
_cell_angle_beta 90.00
_cell_angle_gamma 90.00
loop_
_atom_site_label
_atom_site_fract_x
_atom_site_fract_y
_atom_site_fract_z
Ba1 0.000 0.000 0.000
Sc1 0.250 0.250 0.250
Hg1 0.000 0.000 0.500
Hg2 0.250 0.250 0.750

In order of appearance, V = 418.2, 97.5, 381.8, 1670.4, 179.1, 195.3, 248.7, 446.7 Å³ per cell.